HfSc2Ag: optimized geometry, PBE.

Density of states at the Fermi level ... 5.97 states/eV/cell
ΔH_f (0 K) ... 0.17 eV/atom

```
HfSc2Ag
1.0
1.8192 0.0000 10.6715
-0.9096 1.5755 10.6715
-0.9096 -1.5755 10.6715
Sc Hf Ag
2 1 1
Direct
0.9113 0.9113 0.9113
0.0887 0.0887 0.0887
0.5000 0.5000 0.5000
0.0000 0.0000 0.0000
```